No. 1
# Ac4La2Tb5

Ac4La2Tb5 after structural relaxation (PBE, the Alexandria database).

Calculated values
Symmetry ... No. 12
D(E_F) ... 20.40 states/eV/f.u.
Formation energy from the elements ... 0.229 eV/atom
E_tot ... -0.3135 Ry per atom

a b c (Å): 3.5940 9.2855 12.6715
angles (deg): 86.59 98.15 90.00
Closest atoms and distances in Å follow each position.
Positions (direct):
1 Ac 0.7198 0.1768 0.4397  6 Ac 3.59-3.96, 6 Tb 3.66-3.82
2 Ac 0.2802 0.8232 0.5603  6 Ac 3.59-3.96, 6 Tb 3.66-3.82
3 Ac 0.0866 0.2710 0.1732  2 La 3.48-3.66, 4 Tb 3.51-3.87, 4 Ac 3.59-3.85
4 Ac 0.9134 0.7290 0.8268  2 La 3.48-3.66, 4 Tb 3.51-3.87, 4 Ac 3.59-3.85
5 La 0.0512 0.6595 0.1023  2 Tb 3.22-3.56, 1 Ac 3.48, 2 La 3.59
6 La 0.9488 0.3405 0.8977  2 Tb 3.22-3.56, 1 Ac 3.48, 2 La 3.59
7 Tb 0.1879 0.5330 0.3757  1 La 3.56, 5 Tb 3.59-3.65, 4 Ac 3.62-3.81
8 Tb 0.1352 0.9082 0.2705  1 La 3.22, 1 Ac 3.51, 2 Tb 3.59
9 Tb 0.8121 0.4670 0.6243  1 La 3.56, 5 Tb 3.59-3.65, 4 Ac 3.62-3.81
10 Tb 0.5000 0.0000 0.0000  6 Tb 3.59-3.89, 4 La 3.79, 4 Ac 3.87
11 Tb 0.8648 0.0918 0.7295  1 La 3.22, 1 Ac 3.51, 2 Tb 3.59

***

No. 2
# MgTaAs3

MgTaAs3 after structural relaxation (PBE, the Alexandria database).

Calculated values
Symmetry ... No. 221
D(E_F) ... 3.49 states/eV/f.u.
Formation energy from the elements ... 0.200 eV/atom
E_tot ... -0.3880 Ry per atom

a b c (Å): 5.0150 5.0150 5.0150
angles (deg): 90.00 90.00 90.00
Closest atoms and distances in Å follow each position.
Positions (direct):
1 Mg 0.5000 0.5000 0.5000  12 As 3.55
2 As 0.0000 0.0000 0.5000  2 Ta 2.51
3 As 0.0000 0.5000 0.0000  2 Ta 2.51
4 As 0.5000 0.0000 0.0000  2 Ta 2.51
5 Ta 0.0000 0.0000 0.0000  6 As 2.51

***

> Which formula does entry 1 have?

Ac4La2Tb5

***

Repeat the second record exactly.
# MgTaAs3

MgTaAs3 after structural relaxation (PBE, the Alexandria database).

Calculated values
Symmetry ... No. 221
D(E_F) ... 3.49 states/eV/f.u.
Formation energy from the elements ... 0.200 eV/atom
E_tot ... -0.3880 Ry per atom

a b c (Å): 5.0150 5.0150 5.0150
angles (deg): 90.00 90.00 90.00
Closest atoms and distances in Å follow each position.
Positions (direct):
1 Mg 0.5000 0.5000 0.5000  12 As 3.55
2 As 0.0000 0.0000 0.5000  2 Ta 2.51
3 As 0.0000 0.5000 0.0000  2 Ta 2.51
4 As 0.5000 0.0000 0.0000  2 Ta 2.51
5 Ta 0.0000 0.0000 0.0000  6 As 2.51

***

> Which of these has the lowest formation energy from the elements?

MgTaAs3

***

Copy entry 1 word for word.
# Ac4La2Tb5

Ac4La2Tb5 after structural relaxation (PBE, the Alexandria database).

Calculated values
Symmetry ... No. 12
D(E_F) ... 20.40 states/eV/f.u.
Formation energy from the elements ... 0.229 eV/atom
E_tot ... -0.3135 Ry per atom

a b c (Å): 3.5940 9.2855 12.6715
angles (deg): 86.59 98.15 90.00
Closest atoms and distances in Å follow each position.
Positions (direct):
1 Ac 0.7198 0.1768 0.4397  6 Ac 3.59-3.96, 6 Tb 3.66-3.82
2 Ac 0.2802 0.8232 0.5603  6 Ac 3.59-3.96, 6 Tb 3.66-3.82
3 Ac 0.0866 0.2710 0.1732  2 La 3.48-3.66, 4 Tb 3.51-3.87, 4 Ac 3.59-3.85
4 Ac 0.9134 0.7290 0.8268  2 La 3.48-3.66, 4 Tb 3.51-3.87, 4 Ac 3.59-3.85
5 La 0.0512 0.6595 0.1023  2 Tb 3.22-3.56, 1 Ac 3.48, 2 La 3.59
6 La 0.9488 0.3405 0.8977  2 Tb 3.22-3.56, 1 Ac 3.48, 2 La 3.59
7 Tb 0.1879 0.5330 0.3757  1 La 3.56, 5 Tb 3.59-3.65, 4 Ac 3.62-3.81
8 Tb 0.1352 0.9082 0.2705  1 La 3.22, 1 Ac 3.51, 2 Tb 3.59
9 Tb 0.8121 0.4670 0.6243  1 La 3.56, 5 Tb 3.59-3.65, 4 Ac 3.62-3.81
10 Tb 0.5000 0.0000 0.0000  6 Tb 3.59-3.89, 4 La 3.79, 4 Ac 3.87
11 Tb 0.8648 0.0918 0.7295  1 La 3.22, 1 Ac 3.51, 2 Tb 3.59